Sr2CaCd: relaxed, PBE.

## Properties
Density, kg/m3: 3316
M_tot, μB per formula unit: 0.00
DFT total energy, eV per cell: -6.9

The structure in POSCAR format:
```
Sr2CaCd
1.0
4.036 0.000 0.000
0.000 4.036 0.000
0.000 0.000 10.075
Sr Ca Cd
2 1 1
Cartesian
0.000 0.000 9.463 Sr
2.018 2.018 2.690 Sr
0.000 0.000 5.660 Ca
2.018 2.018 7.374 Cd
```